11
Lattice="-5.1533 0.8964 2.6099 0.4198 -7.1943 1.4561 4.0906 3.4310 5.0547" Properties=species:S:1:pos:R:3 comment="Cs2W2O7 GGA+U optimized geometry" total_energy_ev_per_atom=-6.61 magmom_total_mub_per_fu=0.11 spacegroup="C2/m (12)" crystal_system=monoclinic pbc="T T T"
Cs 2.9563 0.1476 3.9426
Cs 1.5542 -3.9109 2.5681
W -1.2318 -0.3889 2.4048
W 0.5890 -2.4780 6.7158
O -0.8312 -3.5561 6.5621
O -0.7191 -1.9375 1.6689
O 0.1883 0.6892 2.5585
O 0.0763 -0.9294 7.4517
O -2.5766 0.4482 1.3049
O 1.2579 -2.1586 5.0905
O -1.9007 -0.7083 4.0301